4
Lattice="0.000 3.260 3.260 3.260 0.000 3.260 3.260 3.260 0.000" Properties=species:S:1:pos:R:3 comment="MgInMo2 GGA-PBE optimized geometry" vol_a3_per_atom=17.33 energy_ev_per_atom=-6.224 pbc="T T T"
In 3.260 3.260 3.260
Mg 1.630 1.630 1.630
Mo 0.000 0.000 0.000
Mo 4.891 4.891 4.891